A geometry-optimized Na3PmPu2S6 structure. Source: Alexandria, functional PBE.

Its energy relative to the elements, uncorrected is -1626.2 meV/atom. For the theoretical density, the calculation gives 5.211 g/cm³. As for the calculated volume: 285.0 Å³/cell.

Cell: 7.0354 7.0354 7.0501 Å, 99.58 99.58 120.00°
Fractional positions:
Na (0.1669, 0.8331, 0.5000)
Na (0.8331, 0.1669, 0.5000)
Na (0.5000, 0.5000, 0.5000)
Pm (0.0000, 0.0000, 0.0000)
Pu (0.3333, 0.6667, 0.0000)
Pu (0.6667, 0.3333, 0.0000)
S (0.9238, 0.5849, 0.7719)
S (0.7375, 0.7375, 0.2292)
S (0.0762, 0.4151, 0.2281)
S (0.5849, 0.9238, 0.7719)
S (0.2625, 0.2625, 0.7708)
S (0.4151, 0.0762, 0.2281)

A geometry-optimized Na4Pm3PuS8 structure. Source: Alexandria, functional PBE.

Its energy relative to the elements, uncorrected is -1731.4 meV/atom. For the theoretical density, the calculation gives 4.407 g/cm³. As for the calculated volume: 387.1 Å³/cell.

Cell: 8.1837 8.1793 8.1834 Å, 120.03 120.00 90.00°
Fractional positions:
Na (0.5000, 0.0000, 0.0000)
Na (0.5000, 0.0000, 0.5000)
Na (0.0000, 0.0000, 0.0000)
Na (0.0000, 0.0000, 0.5000)
Pm (0.5000, 0.5000, 0.0000)
Pm (0.5000, 0.5000, 0.5000)
Pm (0.0000, 0.5000, 0.5000)
Pu (0.0000, 0.5000, 0.0000)
S (0.2419, 0.7301, 0.9883)
S (0.2419, 0.7301, 0.4838)
S (0.2556, 0.2669, 0.5112)
S (0.7464, 0.7301, 0.9883)
S (0.2536, 0.2699, 0.0117)
S (0.7444, 0.7331, 0.4888)
S (0.7581, 0.2699, 0.5162)
S (0.7581, 0.2699, 0.0117)

Spin magnetization (μB/f.u.)
10.00; 5.00